Record 1
The following is a DFT calculation (PBE-GGA) of crystalline NbTePS at its relaxed geometry.

It has space group Cm (No. 8), with a = 8.734 Å, b = 3.360 Å, c = 7.016 Å, α = 90.00°, β = 100.92° and γ = 90.00°. The asymmetric unit holds Nb at (0.000, 0.000, 0.000), Te at (0.409, 0.000, 0.648), P at (0.277, 0.000, 0.927) and S at (0.099, 0.500, 0.244).

As for the raw formation energy: -1.55 eV per formula unit. The value obtained for the total energy is -48.60 eV/cell. The offset from the most stable computed form comes out at 44 kJ/mol of formula units.

Record 2
The following is a DFT calculation (PBE-GGA) of crystalline NbTePS at its relaxed geometry.

It has space group I4mm (No. 107), with a = 3.188 Å, b = 3.188 Å, c = 16.599 Å, α = 90.00°, β = 90.00° and γ = 90.00°. The asymmetric unit holds Nb at (0.000, 0.000, 0.000), Te at (0.000, 0.000, 0.733), P at (0.000, 0.000, 0.581) and S at (0.000, 0.000, 0.416).

As for the raw formation energy: -1.72 eV per formula unit. The value obtained for the total energy is -48.94 eV/cell. The offset from the most stable computed form comes out at 28 kJ/mol of formula units.

Record 3
The following is a DFT calculation (PBE-GGA) of crystalline NbTePS at its relaxed geometry.

It has space group Cm (No. 8), with a = 8.788 Å, b = 3.340 Å, c = 5.967 Å, α = 90.00°, β = 103.42° and γ = 90.00°. The asymmetric unit holds Nb at (0.000, 0.000, 0.000), Te at (0.149, 0.500, 0.399), P at (0.463, 0.000, 0.671) and S at (0.291, 0.000, 0.007).

As for the raw formation energy: -1.36 eV per formula unit. The value obtained for the total energy is -48.21 eV/cell. The offset from the most stable computed form comes out at 63 kJ/mol of formula units.

Record 4
The following is a DFT calculation (PBE-GGA) of crystalline NbTePS at its relaxed geometry.

It has space group P1 (No. 1), with a = 3.424 Å, b = 4.492 Å, c = 7.382 Å, α = 84.15°, β = 89.60° and γ = 67.60°. The asymmetric unit holds Nb at (0.000, 0.000, 0.000), Te at (0.298, 0.411, 0.748), P at (0.707, 0.583, 0.072) and S at (0.530, 0.932, 0.262).

As for the raw formation energy: -1.83 eV per formula unit. The value obtained for the total energy is -24.58 eV/cell. The offset from the most stable computed form comes out at 17 kJ/mol of formula units.

Record 5
The following is a DFT calculation (PBE-GGA) of crystalline TiNbPS2 at its relaxed geometry.

It has space group P4/mmm (No. 123), with a = 4.566 Å, b = 4.566 Å, c = 4.750 Å, α = 90.00°, β = 90.00° and γ = 90.00°. The asymmetric unit holds Ti at (0.000, 0.000, 0.000), Nb at (0.500, 0.500, 0.500), P at (0.000, 0.000, 0.500) and S at (0.000, 0.500, 0.000).

As for the raw formation energy: 0.45 eV per formula unit. The value obtained for the total energy is -31.18 eV/cell. The offset from the most stable computed form comes out at 19 kJ/mol of formula units.

Record 6
The following is a DFT calculation (PBE-GGA) of crystalline TiNbP2S at its relaxed geometry.

It has space group P4/mmm (No. 123), with a = 4.805 Å, b = 4.805 Å, c = 4.697 Å, α = 90.00°, β = 90.00° and γ = 90.00°. The asymmetric unit holds Ti at (0.000, 0.000, 0.000), Nb at (0.500, 0.500, 0.500), P at (0.000, 0.500, 0.500) and S at (0.500, 0.500, 0.000).

As for the raw formation energy: 1.62 eV per formula unit. The value obtained for the total energy is -31.29 eV/cell. The offset from the most stable computed form comes out at 9 kJ/mol of formula units.

Q: What is the offset from the most stable computed form in the third record?
A: 63 kJ/mol of formula units

Q: Among the records above, which one has the lowest offset from the most stable computed form?
A: TiNbP2S

Q: Which value of offset from the most stable computed form does entry 5 give?
A: 19 kJ/mol of formula units